# KCoBiCl6 (PBE, relaxed)
# * formation energy without anion corrections: -9.602 eV per formula unit
# * size of the total moment: 3.00 μB per formula unit
data_KCoBiCl6
_chemical_formula_sum 'K2 Co2 Bi2 Cl12'
_cell_length_a 6.783
_cell_length_b 11.793
_cell_length_c 6.928
_cell_angle_alpha 90.00
_cell_angle_beta 90.23
_cell_angle_gamma 90.00
_space_group_name_H-M_alt 'C 1 2 1'
_space_group_IT_number 5
_space_group_name_Hall 'C 2y'
loop_
_atom_site_label
_atom_site_fract_x
_atom_site_fract_y
_atom_site_fract_z
K1 0.000 0.000 0.000
Co1 0.000 0.667 0.500
Bi1 0.000 0.333 0.500
Cl1 0.126 0.515 0.713
Cl2 0.162 0.808 0.710
Cl3 0.208 0.177 0.710

# NaCoBiCl6 (PBE, relaxed)
# * formation energy without anion corrections: -9.062 eV per formula unit
# * size of the total moment: 3.00 μB per formula unit
data_NaCoBiCl6
_chemical_formula_sum 'Na2 Co2 Bi2 Cl12'
_cell_length_a 6.7170
_cell_length_b 6.7170
_cell_length_c 12.3979
_cell_angle_alpha 90.00
_cell_angle_beta 90.00
_cell_angle_gamma 120.00
_space_group_name_H-M_alt 'P -3 1 c'
_space_group_IT_number 163
_space_group_name_Hall '-P 3 2c'
loop_
_atom_site_label
_atom_site_fract_x
_atom_site_fract_y
_atom_site_fract_z
Na1 0.0000 0.0000 0.0000
Co1 0.3333 0.6667 0.2500
Bi1 0.3333 0.6667 0.7500
Cl1 0.0312 0.3715 0.1346

# CoNi2BiCl (PBE, relaxed)
# * formation energy without anion corrections: 6.396 eV per formula unit
# * size of the total moment: 2.91 μB per formula unit
data_CoNi2BiCl
_chemical_formula_sum 'Co1 Ni2 Bi1 Cl1'
_cell_length_a 4.832
_cell_length_b 4.832
_cell_length_c 5.478
_cell_angle_alpha 90.00
_cell_angle_beta 90.00
_cell_angle_gamma 90.00
_space_group_name_H-M_alt 'P 4/m m m'
_space_group_IT_number 123
_space_group_name_Hall '-P 4 2'
loop_
_atom_site_label
_atom_site_fract_x
_atom_site_fract_y
_atom_site_fract_z
Co1 0.000 0.000 0.000
Ni1 0.000 0.500 0.500
Bi1 0.500 0.500 0.500
Cl1 0.500 0.500 0.000

> Which of these has the lowest size of the total moment?

CoNi2BiCl